Density functional theory data (PBE-GGA) for a relaxed structure of LaTaTc4.

Results
E_form (meV per atom): 205.8
Crystal system: cubic

Cell: 5.353 5.353 5.353 Å, 60.00 60.00 60.00°
Positions (direct):
La  0.000  0.000  0.000
Ta  0.750  0.750  0.750
Tc  0.376  0.376  0.376
Tc  0.376  0.376  0.873
Tc  0.376  0.873  0.376
Tc  0.873  0.376  0.376